Record 1
AlRuAu2 | SCAN | PBEsol geometry

abc: 2.7973 3.8334 5.7058
angles: 90.00 90.00 90.00
Fractional positions:
Ru 0.5000 0.5000 0.0000
Au 0.0000 0.0000 0.7461
Au 0.0000 0.0000 0.2539
Al 0.5000 0.5000 0.5000

Computed properties:
Its density of states at the Fermi level is 2.71 states/eV per cell. Its magnetic moment is 0.00 μB per atom. Its final energy is -45.26 eV/atom. As for the energy of formation from the pure elements: -0.034 eV per atom.

=====

Record 2
AlRu2Au | SCAN | PBEsol geometry

abc: 3.0027 4.3844 5.0844
angles: 115.54 107.17 90.00
Fractional positions:
Ru 0.0089 0.0089 0.0178
Ru 0.7612 0.2612 0.5224
Au 0.2341 0.7341 0.4682
Al 0.4958 0.4958 0.9916

Computed properties:
Its density of states at the Fermi level is 2.44 states/eV per cell. Its magnetic moment is 0.00 μB per atom. Its final energy is -36.75 eV/atom. As for the energy of formation from the pure elements: -0.105 eV per atom.